Record 1
Sm8TlSb5: relaxed, PBE.

Unit cell a=9.408 b=9.408 c=9.439 alpha=90.00 beta=90.00 gamma=90.00
Space group I-4 (No. 82)
Inequivalent atoms, fractional coordinates:
Sm (0.070, 0.176, 0.304) (multiplicity 8)
Sm (0.073, 0.321, 0.944) (multiplicity 8)
Tl (0.000, 0.500, 0.250) (multiplicity 2)
Sb (0.000, 0.000, 0.000) (multiplicity 2)
Sb (0.125, 0.252, 0.624) (multiplicity 8)

## Properties
The value obtained for the final energy is -5.27 eV/atom. For the uncorrected formation energy, the calculation gives -0.929 eV per atom. The calculation puts the volume at 835 Å³/cell. The density of states at the Fermi level comes out at 27.91 states/eV/cell.


Record 2
Ti4AlPb: relaxed, PBE.

Unit cell a=10.031 b=3.134 c=7.398 alpha=90.00 beta=111.51 gamma=90.00
Space group C2/m (No. 12)
Inequivalent atoms, fractional coordinates:
Ti (0.170, 0.000, 0.324) (multiplicity 4)
Ti (0.170, 0.000, 0.844) (multiplicity 4)
Al (0.000, 0.500, 0.000) (multiplicity 2)
Pb (0.000, 0.500, 0.500) (multiplicity 2)

## Properties
Its formation energy is -0.139 eV/atom. The value obtained for the final energy is -6.64 eV/atom. The calculation puts the volume at 216 Å³/cell. The density of states at the Fermi level comes out at 7.19 states/eV/cell. As for the polymorph energy (0 for the lowest one): 0 meV per atom.